Compound: Hf2Be16Tc
Source: Alexandria
Functional: PBE
Structure: optimized geometry

Output
E_form (eV/f.u.): -3.63
M_tot (μB per formula unit): 0.00

abc: 5.749 5.749 5.749
angles: 83.84 83.84 83.84
Fractional coordinates of all 19 atoms:
Hf 0.664 0.664 0.664
Hf 0.346 0.346 0.346
Be 0.708 0.998 0.288
Be 0.998 0.288 0.708
Be 0.288 0.708 0.998
Be 0.998 0.708 0.288
Be 0.708 0.288 0.998
Be 0.288 0.998 0.708
Be 0.342 0.839 0.342
Be 0.839 0.342 0.342
Be 0.342 0.342 0.839
Be 0.653 0.157 0.653
Be 0.157 0.653 0.653
Be 0.653 0.653 0.157
Be 0.999 0.501 0.999
Be 0.501 0.999 0.999
Be 0.999 0.999 0.501
Be 0.111 0.111 0.111
Tc 0.907 0.907 0.907

***

Compound: Tm2ThFe9
Source: Alexandria
Functional: PBE
Structure: optimized geometry

Output
E_form (eV/f.u.): -1.33
M_tot (μB per formula unit): 16.74

abc: 5.074 5.074 8.664
angles: 72.97 72.97 60.00
Last column: magnetic moment on the atom in μB.
Fractional coordinates of all 12 atoms:
Tm 0.857 0.857 0.428  -0.63
Tm 0.143 0.143 0.572  -0.63
Th 0.000 0.000 0.000  -0.36
Fe 0.667 0.667 0.998  2.26
Fe 0.333 0.333 0.002  2.26
Fe 0.500 0.500 0.500  1.79
Fe 0.417 0.417 0.251  2.06
Fe 0.916 0.417 0.251  2.06
Fe 0.417 0.916 0.251  2.06
Fe 0.583 0.583 0.749  2.06
Fe 0.583 0.084 0.749  2.06
Fe 0.084 0.583 0.749  2.06

***

Compound: Cs2NaRu
Source: Alexandria
Functional: PBE
Structure: optimized geometry

Output
E_form (eV/f.u.): 3.97
M_tot (μB per formula unit): 0.00

abc: 11.512 11.512 8.662
angles: 48.36 48.36 90.00
Fractional coordinates of all 8 atoms:
Cs 0.877 0.125 0.250
Cs 0.873 0.625 0.250
Cs 0.375 0.123 0.750
Cs 0.875 0.127 0.750
Ru 0.000 0.000 0.000
Ru 0.750 0.250 0.500
Na 0.500 0.500 0.000
Na 0.250 0.750 0.500

***

Compound: AsRhPb2
Source: Alexandria
Functional: PBE
Structure: optimized geometry

Output
E_form (eV/f.u.): -0.73
M_tot (μB per formula unit): 0.00

abc: 4.269 4.269 7.010
angles: 72.37 72.37 59.79
Fractional coordinates of all 4 atoms:
Pb 0.031 0.031 0.908
Pb 0.219 0.219 0.341
As 0.792 0.792 0.625
Rh 0.458 0.458 0.626

***

Compound: La3NdCu2O8
Source: Alexandria
Functional: PBE
Structure: optimized geometry

Output
M_tot (μB per formula unit): 0.00
Uncorrected formation energy (eV per atom): -2.565

abc: 5.306 5.588 7.049
angles: 89.88 67.89 90.00
Fractional coordinates of all 14 atoms:
La 0.140 0.515 0.719
La 0.641 0.984 0.719
La 0.361 0.016 0.278
Nd 0.863 0.481 0.274
Cu 0.499 0.499 0.003
Cu 0.000 0.998 0.000
O 0.763 0.250 0.976
O 0.737 0.746 0.031
O 0.232 0.746 0.031
O 0.261 0.250 0.976
O 0.690 0.573 0.619
O 0.314 0.434 0.373
O 0.813 0.075 0.375
O 0.187 0.934 0.627

***

Compound: NaLa2Se3
Source: Alexandria
Functional: PBE
Structure: optimized geometry

Output
M_tot (μB per formula unit): 0.00
Uncorrected formation energy (eV per atom): -1.826

abc: 4.327 4.327 10.614
angles: 90.00 90.00 120.00
Fractional coordinates of all 6 atoms:
Na 0.000 0.000 0.000
La 0.333 0.667 0.670
La 0.667 0.333 0.330
Se 0.333 0.667 0.172
Se 0.667 0.333 0.828
Se 0.000 0.000 0.500

***

Compound: Ac4GeSeCl2
Source: Alexandria
Functional: PBE
Structure: optimized geometry

Output
M_tot (μB per formula unit): 0.00
Uncorrected formation energy (eV per atom): -1.443

abc: 4.554 7.541 7.805
angles: 69.46 90.00 90.00
Fractional coordinates of all 8 atoms:
Ac 0.000 0.738 0.759
Ac 0.000 0.262 0.241
Ac 0.500 0.740 0.248
Ac 0.500 0.260 0.752
Ge 0.500 0.500 0.000
Se 0.000 0.500 0.500
Cl 0.000 0.000 0.000
Cl 0.500 0.000 0.500

***

Compound: Pa2NbSiN6
Source: Alexandria
Functional: PBE
Structure: optimized geometry

Output
M_tot (μB per formula unit): 0.80
Uncorrected formation energy (eV per atom): -1.059

abc: 4.763 5.212 5.212
angles: 90.00 90.00 90.00
Last column: magnetic moment on the atom in μB.
Fractional coordinates of all 10 atoms:
Pa 0.008 0.500 0.000  0.35
Pa 0.008 0.000 0.500  0.35
Nb 0.573 0.500 0.500  0.08
Si 0.586 0.000 0.000  0.01
N 0.720 0.238 0.238  -0.01
N 0.720 0.238 0.762  -0.01
N 0.170 0.500 0.500  -0.01
N 0.220 0.000 0.000  -0.02
N 0.720 0.762 0.762  -0.01
N 0.720 0.762 0.238  -0.01